Ca2TaP after structural relaxation. Source: Alexandria via LeMat-Bulk, functional PBE-GGA.

Unit cell a=4.078 b=3.796 c=6.790 alpha=56.78 beta=90.00 gamma=90.00
Element x y z (fractional)
Ca (0.000, 0.995, 0.015)
Ca (0.000, 0.505, 0.485)
P (0.500, 0.250, 0.250)
Ta (0.500, 0.750, 0.750)

Calculated values
SG: P2/m, No. 10
E_form (eV/f.u.): 0.86
Relative energy among the computed polymorphs (meV/atom): 462.9

Ca2TaP after structural relaxation. Source: Alexandria via LeMat-Bulk, functional PBE-GGA.

Unit cell a=5.104 b=5.104 c=5.104 alpha=60.00 beta=60.00 gamma=60.00
Element x y z (fractional)
P (0.000, 0.000, 0.000)
Ca (0.250, 0.250, 0.250)
Ca (0.750, 0.750, 0.750)
Ta (0.500, 0.500, 0.500)

Calculated values
SG: Fm-3m, No. 225
E_form (eV/f.u.): 2.16
Relative energy among the computed polymorphs (meV/atom): 788.3